No. 1
The following is a DFT calculation (PBE) of a relaxed PmPr8In2 crystal.

Cell: 9.479 9.479 6.300 Å, 102.36 102.36 42.65°
Atoms (fractional coordinates):
Pm 0.000 0.000 0.000
Pr 0.089 0.566 0.891
Pr 0.135 0.135 0.576
Pr 0.434 0.911 0.109
Pr 0.499 0.499 0.260
Pr 0.501 0.501 0.740
Pr 0.566 0.089 0.891
Pr 0.865 0.865 0.424
Pr 0.911 0.434 0.109
In 0.321 0.321 0.396
In 0.679 0.679 0.604

- formation energy (meV/atom) = -96
- crystal system = monoclinic
- electronic total energy (eV per atom) = -4.502
- SG = C2/m (12)

=====

No. 2
The following is a DFT calculation (PBE) of a relaxed Ba2Ge2As crystal.

Cell: 7.917 7.917 4.900 Å, 90.00 90.00 90.00°
Atoms (fractional coordinates):
Ba 0.186 0.314 0.000
Ba 0.314 0.814 0.000
Ba 0.686 0.186 0.000
Ba 0.814 0.686 0.000
Ge 0.113 0.613 0.500
Ge 0.387 0.113 0.500
Ge 0.613 0.887 0.500
Ge 0.887 0.387 0.500
As 0.000 0.000 0.500
As 0.500 0.500 0.500

- formation energy (meV/atom) = -485
- crystal system = tetragonal
- electronic total energy (eV per atom) = -4.031
- SG = P4/mbm (127)

=====

No. 3
The following is a DFT calculation (PBE) of a relaxed LaAgSn crystal.

Cell: 8.842 8.842 8.842 Å, 31.64 31.64 31.64°
Atoms (fractional coordinates):
La 0.000 0.000 0.000
La 0.163 0.163 0.163
Ag 0.281 0.281 0.281
Ag 0.409 0.409 0.409
Sn 0.579 0.579 0.579
Sn 0.753 0.753 0.753

- formation energy (meV/atom) = -532
- crystal system = trigonal
- electronic total energy (eV per atom) = -4.459
- SG = R3m (160)

=====

No. 4
The following is a DFT calculation (PBE) of a relaxed Ca2LaSi crystal.

Cell: 7.371 7.371 7.371 Å, 100.53 100.53 129.39°
Atoms (fractional coordinates):
Ca 0.040 0.625 0.915
Ca 0.375 0.290 0.415
Ca 0.710 0.125 0.085
Ca 0.875 0.960 0.585
La 0.250 0.750 0.500
La 0.500 0.500 0.000
Si 0.000 0.000 0.000
Si 0.750 0.250 0.500

- crystal system = tetragonal
- E_form (uncorrected) (eV/f.u.) = -0.032
- electronic total energy (eV per atom) = -3.596
- SG = I-42d (122)

=====

No. 5
The following is a DFT calculation (PBE) of a relaxed CaTlGa crystal.

Cell: 5.204 5.204 10.688 Å, 90.00 90.00 120.00°
Atoms (fractional coordinates):
Ca 0.333 0.667 0.250
Ca 0.667 0.333 0.750
Tl 0.000 0.000 0.000
Tl 0.000 0.000 0.500
Ga 0.000 0.000 0.250
Ga 0.000 0.000 0.750

- formation energy (meV/atom) = 222
- crystal system = hexagonal
- electronic total energy (eV per atom) = -2.243
- SG = P6_3/mmc (194)

=====

No. 6
The following is a DFT calculation (PBE) of a relaxed La3Pm2TaN6 crystal.

Cell: 6.151 6.151 6.201 Å, 99.45 99.45 119.95°
Atoms (fractional coordinates):
La 0.000 0.000 0.000
La 0.334 0.666 0.000
La 0.666 0.334 0.000
Pm 0.167 0.833 0.500
Pm 0.833 0.167 0.500
Ta 0.500 0.500 0.500
N 0.133 0.427 0.283
N 0.278 0.278 0.725
N 0.427 0.133 0.283
N 0.573 0.867 0.717
N 0.722 0.722 0.275
N 0.867 0.573 0.717

- crystal system = monoclinic
- E_form (uncorrected) (eV/f.u.) = -16.106
- electronic total energy (eV per atom) = -8.516
- SG = C2/m (12)

=====

No. 7
The following is a DFT calculation (PBE) of a relaxed CsSi2Ir crystal.

Cell: 4.831 4.831 4.831 Å, 60.00 60.00 60.00°
Atoms (fractional coordinates):
Cs 0.000 0.000 0.000
Si 0.250 0.250 0.250
Si 0.750 0.750 0.750
Ir 0.500 0.500 0.500

- crystal system = cubic
- E_form (uncorrected) (eV/f.u.) = 4.206
- electronic total energy (eV per atom) = -4.089
- SG = Fm-3m (225)

=====

No. 8
The following is a DFT calculation (PBE) of a relaxed Nd2ErGa2Cu2 crystal.

Cell: 9.765 9.765 9.765 Å, 25.98 25.98 25.98°
Atoms (fractional coordinates):
Nd 0.122 0.122 0.122
Nd 0.878 0.878 0.878
Er 0.000 0.000 0.000
Ga 0.271 0.271 0.271
Ga 0.729 0.729 0.729
Cu 0.389 0.389 0.389
Cu 0.611 0.611 0.611

- formation energy (meV/atom) = -391
- crystal system = trigonal
- electronic total energy (eV per atom) = -4.440
- SG = R-3m (166)

=====

No. 9
The following is a DFT calculation (PBE) of a relaxed AcAsPd crystal.

Cell: 6.000 6.000 6.397 Å, 90.36 90.36 44.79°
Atoms (fractional coordinates):
Ac 0.139 0.139 0.261
Ac 0.861 0.861 0.739
As 0.152 0.152 0.762
As 0.848 0.848 0.238
Pd 0.423 0.423 0.320
Pd 0.577 0.577 0.680

- formation energy (meV/atom) = -1031
- crystal system = monoclinic
- electronic total energy (eV per atom) = -5.681
- SG = C2/m (12)

=====

No. 10
The following is a DFT calculation (PBE) of a relaxed LiRe2 crystal.

Cell: 5.432 5.432 6.422 Å, 97.27 97.27 28.54°
Atoms (fractional coordinates):
Li 0.013 0.013 0.327
Li 0.987 0.987 0.673
Re 0.267 0.267 0.320
Re 0.380 0.380 0.988
Re 0.620 0.620 0.012
Re 0.733 0.733 0.680

- formation energy (meV/atom) = 359
- crystal system = monoclinic
- electronic total energy (eV per atom) = -8.578
- SG = C2/m (12)

=====

No. 11
The following is a DFT calculation (PBE) of a relaxed FeTc2Br crystal.

Cell: 5.305 5.305 5.305 Å, 147.72 130.41 60.42°
Atoms (fractional coordinates):
Fe 0.000 0.000 0.000
Tc 0.266 0.766 0.500
Tc 0.734 0.234 0.500
Br 0.500 0.500 0.000

- crystal system = orthorhombic
- E_form (uncorrected) (eV/f.u.) = 3.333
- electronic total energy (eV per atom) = -6.884
- SG = Immm (71)

=====

No. 12
The following is a DFT calculation (PBE) of a relaxed Cs2Ga2Pt crystal.

Cell: 7.016 7.016 6.614 Å, 90.00 90.00 90.00°
Atoms (fractional coordinates):
Cs 0.177 0.323 0.000
Cs 0.323 0.823 0.000
Cs 0.677 0.177 0.000
Cs 0.823 0.677 0.000
Ga 0.208 0.708 0.500
Ga 0.292 0.208 0.500
Ga 0.708 0.792 0.500
Ga 0.792 0.292 0.500
Pt 0.000 0.000 0.500
Pt 0.500 0.500 0.500

- formation energy (meV/atom) = -44
- crystal system = tetragonal
- electronic total energy (eV per atom) = -2.804
- SG = P4/mbm (127)

=====

No. 13
The following is a DFT calculation (PBE) of a relaxed TcAgRu2 crystal.

Cell: 4.883 4.883 4.883 Å, 133.96 133.96 67.15°
Atoms (fractional coordinates):
Tc 0.000 0.000 0.000
Ag 0.250 0.750 0.500
Ru 0.500 0.500 0.000
Ru 0.750 0.250 0.500

- formation energy (meV/atom) = 517
- crystal system = tetragonal
- electronic total energy (eV per atom) = -7.425
- SG = I-4m2 (119)

=====

No. 14
The following is a DFT calculation (PBE) of a relaxed ZrMo3 crystal.

Cell: 2.696 4.808 5.392 Å, 90.00 90.00 90.00°
Atoms (fractional coordinates):
Zr 0.000 0.000 0.000
Mo 0.000 0.000 0.500
Mo 0.500 0.500 0.255
Mo 0.500 0.500 0.745

- formation energy (meV/atom) = 297
- crystal system = orthorhombic
- electronic total energy (eV per atom) = -9.964
- SG = Pmmm (47)

=====

No. 15
The following is a DFT calculation (PBE) of a relaxed ReP2IrS crystal.

Cell: 4.624 4.624 4.418 Å, 90.00 90.00 90.00°
Atoms (fractional coordinates):
Re 0.000 0.000 0.000
P 0.000 0.500 0.000
P 0.500 0.000 0.000
Ir 0.500 0.500 0.500
S 0.000 0.000 0.500

- crystal system = tetragonal
- E_form (uncorrected) (eV/f.u.) = 5.715
- electronic total energy (eV per atom) = -6.108
- SG = P4/mmm (123)

=====

Number 1: N(E_F) 1.37 states/eV/atom. Number 2: N(E_F) 0.47 states/eV/atom. Number 3: N(E_F) 0.65 states/eV/atom. Number 4: N(E_F) 0.75 states/eV/atom. Number 5: N(E_F) 0.88 states/eV/atom. Number 6: N(E_F) 0.20 states/eV/atom. Number 7: N(E_F) 0.39 states/eV/atom. Number 8: N(E_F) 0.76 states/eV/atom. Number 9: N(E_F) 0.21 states/eV/atom. Number 10: N(E_F) 0.60 states/eV/atom. Number 11: N(E_F) 1.23 states/eV/atom. Number 12: N(E_F) 0.45 states/eV/atom. Number 13: N(E_F) 1.35 states/eV/atom. Number 14: N(E_F) 1.00 states/eV/atom. Number 15: N(E_F) 0.55 states/eV/atom.